1.
This record from Alexandria via LeMat-Bulk describes a relaxed structure of SrCoB3. The functional is GGA-PBE.

Cell: 3.949 3.949 3.949 Å, 90.00 90.00 90.00°
Fractional coordinates of all 5 atoms:
Sr1 0.000 0.000 0.000
Co1 0.500 0.500 0.500
B1 0.000 0.500 0.500
B2 0.500 0.000 0.500
B3 0.500 0.500 0.000

## Properties
**Energy**: -5.294 eV per atom
**Polymorph energy (0 for the lowest one)**: 0 meV/atom
**Calculated density**: 4.8 g cm⁻³



2.
This record from Alexandria via LeMat-Bulk describes a relaxed structure of Sr3CoB. The functional is GGA-PBE.

Cell: 5.499 5.499 5.499 Å, 90.00 90.00 90.00°
Fractional coordinates of all 5 atoms:
Sr1 0.000 0.000 0.500
Sr2 0.000 0.500 0.000
Sr3 0.500 0.000 0.000
Co1 0.000 0.000 0.000
B1 0.500 0.500 0.500

## Properties
**Energy**: -2.753 eV per atom
**Calculated density**: 3.3 g cm⁻³



3.
This record from Alexandria via LeMat-Bulk describes a relaxed structure of SrCoB3. The functional is GGA-PBE.

Cell: 4.637 4.637 4.637 Å, 90.00 90.00 90.00°
Fractional coordinates of all 5 atoms:
Sr1 0.000 0.000 0.000
Co1 0.500 0.500 0.500
B1 0.000 0.000 0.500
B2 0.000 0.500 0.000
B3 0.500 0.000 0.000

## Properties
**Energy**: -2.362 eV per atom
**Polymorph energy (0 for the lowest one)**: 2932 meV/atom
**Calculated density**: 3.0 g cm⁻³



4.
This record from Alexandria via LeMat-Bulk describes a relaxed structure of SrTi2CoB. The functional is GGA-PBE.

Cell: 4.420 4.420 5.752 Å, 90.00 90.00 90.00°
Fractional coordinates of all 5 atoms:
Sr1 0.000 0.000 0.000
Ti1 0.000 0.500 0.500
Ti2 0.500 0.000 0.500
Co1 0.000 0.000 0.500
B1 0.500 0.500 0.000

## Properties
**Energy**: -5.168 eV per atom
**Calculated density**: 3.7 g cm⁻³



5.
This record from Alexandria via LeMat-Bulk describes a relaxed structure of TaCo2B. The functional is GGA-PBE.

Cell: 5.044 5.044 5.044 Å, 102.62 102.62 124.27°
Fractional coordinates of all 8 atoms:
Ta1 0.000 0.000 0.000
Ta2 0.750 0.250 0.500
Co1 0.222 0.625 0.097
Co2 0.375 0.472 0.597
Co3 0.528 0.125 0.903
Co4 0.875 0.778 0.403
B1 0.250 0.750 0.500
B2 0.500 0.500 0.000

## Properties
**Energy**: -8.204 eV per atom
**Calculated density**: 11.0 g cm⁻³



6.
This record from Alexandria via LeMat-Bulk describes a relaxed structure of TaCo2B2. The functional is GGA-PBE.

Cell: 5.050 5.050 6.341 Å, 90.00 90.00 142.97°
Fractional coordinates of all 10 atoms:
Ta1 0.086 0.914 0.500
Ta2 0.914 0.086 0.000
Co1 0.192 0.808 0.112
Co2 0.385 0.615 0.351
Co3 0.615 0.385 0.851
Co4 0.808 0.192 0.612
B1 0.256 0.744 0.803
B2 0.433 0.567 0.687
B3 0.567 0.433 0.187
B4 0.744 0.256 0.303

## Properties
**Energy**: -8.413 eV per atom
**Calculated density**: 10.9 g cm⁻³



7.
This record from Alexandria via LeMat-Bulk describes a relaxed structure of TaCo3B. The functional is GGA-PBE.

Cell: 4.463 4.463 4.463 Å, 90.00 90.00 90.00°
Fractional coordinates of all 5 atoms:
Ta1 0.000 0.000 0.000
Co1 0.000 0.000 0.500
Co2 0.000 0.500 0.000
Co3 0.500 0.000 0.000
B1 0.500 0.500 0.500

## Properties
**Energy**: -5.681 eV per atom
**Polymorph energy (0 for the lowest one)**: 2452 meV/atom
**Calculated density**: 6.9 g cm⁻³



8.
This record from Alexandria via LeMat-Bulk describes a relaxed structure of TaCo3B. The functional is GGA-PBE.

Cell: 3.819 3.819 3.819 Å, 90.00 90.00 90.00°
Fractional coordinates of all 5 atoms:
Ta1 0.000 0.000 0.000
Co1 0.000 0.500 0.500
Co2 0.500 0.000 0.500
Co3 0.500 0.500 0.000
B1 0.500 0.500 0.500

## Properties
**Energy**: -8.133 eV per atom
**Polymorph energy (0 for the lowest one)**: 0 meV/atom
**Calculated density**: 11.0 g cm⁻³



9.
This record from Alexandria via LeMat-Bulk describes a relaxed structure of TaCo2B. The functional is GGA-PBE.

Cell: 8.095 8.095 3.414 Å, 90.00 90.00 156.42°
Fractional coordinates of all 8 atoms:
Ta1 0.116 0.884 0.750
Ta2 0.884 0.116 0.250
Co1 0.251 0.749 0.250
Co2 0.455 0.545 0.750
Co3 0.545 0.455 0.250
Co4 0.749 0.251 0.750
B1 0.327 0.673 0.750
B2 0.673 0.327 0.250

## Properties
**Energy**: -8.504 eV per atom
**Calculated density**: 11.5 g cm⁻³



10.
This record from Alexandria via LeMat-Bulk describes a relaxed structure of TaCo10B3. The functional is GGA-PBE.

Cell: 7.395 7.395 7.395 Å, 60.00 60.00 60.00°
Fractional coordinates of all 28 atoms:
Ta1 0.250 0.250 0.250
Ta2 0.750 0.750 0.750
Co1 0.000 0.000 0.337
Co2 0.000 0.000 0.663
Co3 0.000 0.337 0.000
Co4 0.000 0.337 0.663
Co5 0.000 0.663 0.000
Co6 0.000 0.663 0.337
Co7 0.151 0.616 0.616
Co8 0.337 0.000 0.000
Co9 0.337 0.000 0.663
Co10 0.337 0.663 0.000
Co11 0.384 0.384 0.384
Co12 0.384 0.384 0.849
Co13 0.384 0.849 0.384
Co14 0.616 0.151 0.616
Co15 0.616 0.616 0.151
Co16 0.616 0.616 0.616
Co17 0.663 0.000 0.000
Co18 0.663 0.000 0.337
Co19 0.663 0.337 0.000
Co20 0.849 0.384 0.384
B1 0.273 0.273 0.727
B2 0.273 0.727 0.273
B3 0.273 0.727 0.727
B4 0.727 0.273 0.273
B5 0.727 0.273 0.727
B6 0.727 0.727 0.273

## Properties
**Energy**: -7.605 eV per atom
**Calculated density**: 9.3 g cm⁻³



11.
This record from Alexandria via LeMat-Bulk describes a relaxed structure of TaCo2B4. The functional is GGA-PBE.

Cell: 6.604 6.604 6.604 Å, 153.37 152.47 38.68°
Fractional coordinates of all 7 atoms:
Ta1 0.000 0.000 0.000
Co1 0.186 0.686 0.500
Co2 0.814 0.314 0.500
B1 0.348 0.848 0.500
B2 0.425 0.425 0.000
B3 0.575 0.575 0.000
B4 0.652 0.152 0.500

## Properties
**Energy**: -8.063 eV per atom
**Calculated density**: 9.5 g cm⁻³



12.
This record from Alexandria via LeMat-Bulk describes a relaxed structure of TaCo2B. The functional is GGA-PBE.

Cell: 11.880 6.319 4.589 Å, 90.00 90.00 90.00°
Fractional coordinates of all 32 atoms:
Ta1 0.111 0.250 0.228
Ta2 0.138 0.750 0.012
Ta3 0.362 0.250 0.512
Ta4 0.389 0.750 0.728
Ta5 0.611 0.250 0.272
Ta6 0.638 0.750 0.488
Ta7 0.862 0.250 0.988
Ta8 0.889 0.750 0.772
Co1 0.036 0.054 0.743
Co2 0.036 0.446 0.743
Co3 0.213 0.555 0.504
Co4 0.213 0.945 0.504
Co5 0.287 0.055 0.004
Co6 0.287 0.445 0.004
Co7 0.464 0.554 0.243
Co8 0.464 0.946 0.243
Co9 0.536 0.054 0.757
Co10 0.536 0.446 0.757
Co11 0.713 0.555 0.996
Co12 0.713 0.945 0.996
Co13 0.787 0.055 0.496
Co14 0.787 0.445 0.496
Co15 0.964 0.554 0.257
Co16 0.964 0.946 0.257
B1 0.068 0.750 0.520
B2 0.181 0.250 0.732
B3 0.319 0.750 0.232
B4 0.432 0.250 0.020
B5 0.568 0.750 0.980
B6 0.681 0.250 0.768
B7 0.819 0.750 0.268
B8 0.932 0.250 0.480

## Properties
**Energy**: -8.682 eV per atom
**Calculated density**: 11.9 g cm⁻³



13.
This record from Alexandria via LeMat-Bulk describes a relaxed structure of TaCo3B. The functional is GGA-PBE.

Cell: 8.064 8.064 8.064 Å, 152.58 152.14 39.49°
Fractional coordinates of all 10 atoms:
Ta1 0.324 0.074 0.250
Ta2 0.676 0.926 0.750
Co1 0.060 0.810 0.250
Co2 0.197 0.447 0.750
Co3 0.434 0.684 0.750
Co4 0.566 0.316 0.250
Co5 0.803 0.553 0.250
Co6 0.940 0.190 0.750
B1 0.072 0.322 0.750
B2 0.928 0.678 0.250

## Properties
**Energy**: -8.083 eV per atom
**Polymorph energy (0 for the lowest one)**: 50 meV/atom
**Calculated density**: 10.9 g cm⁻³



14.
This record from Alexandria via LeMat-Bulk describes a relaxed structure of Ta2CoB3. The functional is GGA-PBE.

Cell: 6.600 6.600 4.670 Å, 69.29 69.28 41.43°
Fractional coordinates of all 12 atoms:
Ta1 0.249 0.751 0.249
Ta2 0.250 0.250 0.250
Ta3 0.750 0.750 0.750
Ta4 0.751 0.249 0.751
Co1 0.333 0.333 0.667
Co2 0.667 0.667 0.333
B1 0.156 0.685 0.844
B2 0.157 0.157 0.843
B3 0.315 0.844 0.685
B4 0.685 0.156 0.315
B5 0.843 0.843 0.157
B6 0.844 0.315 0.156

## Properties
**Energy**: -9.040 eV per atom
**Calculated density**: 12.1 g cm⁻³



15.
This record from Alexandria via LeMat-Bulk describes a relaxed structure of TaCo2B2. The functional is GGA-PBE.

Cell: 6.193 6.193 2.578 Å, 90.00 90.00 90.00°
Fractional coordinates of all 10 atoms:
Ta1 0.000 0.000 0.000
Ta2 0.500 0.500 0.000
Co1 0.146 0.354 0.500
Co2 0.354 0.854 0.500
Co3 0.646 0.146 0.500
Co4 0.854 0.646 0.500
B1 0.137 0.637 0.000
B2 0.363 0.137 0.000
B3 0.637 0.863 0.000
B4 0.863 0.363 0.000

## Properties
**Energy**: -7.973 eV per atom
**Calculated density**: 10.8 g cm⁻³



16.
This record from Alexandria via LeMat-Bulk describes a relaxed structure of TaCo2B2. The functional is GGA-PBE.

Cell: 3.656 3.264 8.240 Å, 90.00 95.27 90.00°
Fractional coordinates of all 10 atoms:
Ta1 0.206 0.250 0.253
Ta2 0.794 0.750 0.747
Co1 0.250 0.750 0.504
Co2 0.341 0.250 0.903
Co3 0.659 0.750 0.097
Co4 0.750 0.250 0.496
B1 0.141 0.750 0.016
B2 0.281 0.250 0.652
B3 0.719 0.750 0.348
B4 0.859 0.250 0.984

## Properties
**Energy**: -8.380 eV per atom
**Calculated density**: 10.9 g cm⁻³



17.
This record from Alexandria via LeMat-Bulk describes a relaxed structure of Ta3CoB4. The functional is GGA-PBE.

Cell: 6.469 6.469 6.469 Å, 150.04 138.01 52.44°
Fractional coordinates of all 8 atoms:
Ta1 0.000 0.000 0.000
Ta2 0.312 0.812 0.500
Ta3 0.688 0.188 0.500
Co1 0.500 0.500 0.000
B1 0.063 0.376 0.687
B2 0.312 0.624 0.687
B3 0.688 0.376 0.313
B4 0.937 0.624 0.313

## Properties
**Energy**: -9.209 eV per atom
**Calculated density**: 11.9 g cm⁻³



18.
This record from Alexandria via LeMat-Bulk describes a relaxed structure of TaCoB4. The functional is GGA-PBE.

Cell: 5.727 11.149 3.136 Å, 90.00 90.00 90.00°
Fractional coordinates of all 24 atoms:
Ta1 0.128 0.152 0.000
Ta2 0.372 0.652 0.000
Ta3 0.628 0.348 0.000
Ta4 0.872 0.848 0.000
Co1 0.138 0.408 0.000
Co2 0.362 0.908 0.000
Co3 0.638 0.092 0.000
Co4 0.862 0.592 0.000
B1 0.022 0.695 0.500
B2 0.117 0.548 0.500
B3 0.130 0.967 0.500
B4 0.207 0.812 0.500
B5 0.293 0.312 0.500
B6 0.370 0.467 0.500
B7 0.383 0.048 0.500
B8 0.478 0.195 0.500
B9 0.522 0.805 0.500
B10 0.617 0.952 0.500
B11 0.630 0.533 0.500
B12 0.707 0.688 0.500
B13 0.793 0.188 0.500
B14 0.870 0.033 0.500
B15 0.883 0.452 0.500
B16 0.978 0.305 0.500

## Properties
**Energy**: -7.987 eV per atom
**Calculated density**: 9.4 g cm⁻³



19.
This record from Alexandria via LeMat-Bulk describes a relaxed structure of TaCoTc2B. The functional is GGA-PBE.

Cell: 4.144 4.144 3.799 Å, 90.00 90.00 90.00°
Fractional coordinates of all 5 atoms:
Ta1 0.000 0.000 0.000
Co1 0.500 0.500 0.000
Tc1 0.000 0.500 0.500
Tc2 0.500 0.000 0.500
B1 0.500 0.500 0.500

## Properties
**Energy**: -9.502 eV per atom
**Calculated density**: 11.4 g cm⁻³



20.
This record from Alexandria via LeMat-Bulk describes a relaxed structure of Ta2ZnCo5B2. The functional is GGA-PBE.

Cell: 8.514 8.514 3.037 Å, 90.00 90.00 90.00°
Fractional coordinates of all 20 atoms:
Ta1 0.177 0.323 0.000
Ta2 0.323 0.823 0.000
Ta3 0.677 0.177 0.000
Ta4 0.823 0.677 0.000
Zn1 0.000 0.000 0.000
Zn2 0.500 0.500 0.000
Co1 0.000 0.500 0.500
Co2 0.068 0.778 0.500
Co3 0.222 0.068 0.500
Co4 0.278 0.568 0.500
Co5 0.432 0.278 0.500
Co6 0.500 0.000 0.500
Co7 0.568 0.722 0.500
Co8 0.722 0.432 0.500
Co9 0.778 0.932 0.500
Co10 0.932 0.222 0.500
B1 0.121 0.621 0.000
B2 0.379 0.121 0.000
B3 0.621 0.879 0.000
B4 0.879 0.379 0.000

## Properties
**Energy**: -7.794 eV per atom
**Calculated density**: 11.2 g cm⁻³